No. 1
The following is a PBE-GGA calculation of crystalline PmCo4Sb12 at its relaxed geometry, from Alexandria via LeMat-Bulk.

Calculated values
Final energy, eV per atom: -5.10

a b c (Å): 7.9744 7.9744 7.9744
angles (deg): 109.47 109.47 109.47
Closest atoms and distances in Å follow each position.
Fractional positions:
Pm 0.0000 0.0000 0.0000  12 Sb 3.40
Co 0.0000 0.5000 0.0000  6 Sb 2.56
Co 0.5000 0.0000 0.0000  6 Sb 2.56
Co 0.5000 0.5000 0.5000  6 Sb 2.56
Co 0.0000 0.0000 0.5000  6 Sb 2.56
Sb 0.8392 0.3327 0.1720  2 Co 2.56
Sb 0.3327 0.4935 0.1608  2 Co 2.56
Sb 0.8280 0.1608 0.6673  2 Co 2.56
Sb 0.3327 0.1720 0.8392  2 Co 2.56
Sb 0.1720 0.8392 0.3327  2 Co 2.56
Sb 0.6673 0.5065 0.8392  2 Co 2.56
Sb 0.4935 0.1608 0.3327  2 Co 2.56
Sb 0.5065 0.8392 0.6673  2 Co 2.56
Sb 0.6673 0.8280 0.1608  2 Co 2.56
Sb 0.8392 0.6673 0.5065  2 Co 2.56
Sb 0.1608 0.3327 0.4935  2 Co 2.56
Sb 0.1608 0.6673 0.8280  2 Co 2.56

No. 2
The following is a PBE-GGA calculation of crystalline Pm5Co2Sb at its relaxed geometry, from Alexandria via LeMat-Bulk.

Calculated values
Final energy, eV per atom: -5.62

a b c (Å): 7.8460 7.8460 8.7412
angles (deg): 116.67 116.67 90.00
Closest atoms and distances in Å follow each position.
Fractional positions:
Pm 0.5238 0.7079 0.7318  3 Co 2.91-2.95
Pm 0.7921 0.9762 0.2682  3 Co 2.91-2.95
Pm 0.0000 0.0000 0.0000  4 Co 3.04, 2 Sb 3.38
Pm 0.5000 0.5000 0.0000  4 Co 3.04, 2 Sb 3.38
Pm 0.2079 0.0238 0.7318  3 Co 2.91-2.95
Pm 0.7079 0.2079 0.7318  3 Co 2.91-2.95
Pm 0.0238 0.5238 0.7318  3 Co 2.91-2.95
Pm 0.2921 0.7921 0.2682  3 Co 2.91-2.95
Pm 0.9762 0.4762 0.2682  3 Co 2.91-2.95
Pm 0.4762 0.2921 0.2682  3 Co 2.91-2.95
Co 0.1374 0.3626 0.0000  8 Pm 2.91-3.04, 1 Co 3.05
Co 0.6374 0.1374 0.0000  8 Pm 2.91-3.04, 1 Co 3.05
Co 0.3626 0.8626 0.0000  8 Pm 2.91-3.04, 1 Co 3.05
Co 0.8626 0.6374 0.0000  8 Pm 2.91-3.04, 1 Co 3.05
Sb 0.7500 0.7500 0.5000  10 Pm 3.35-3.38
Sb 0.2500 0.2500 0.5000  10 Pm 3.35-3.38

No. 3
The following is a PBE-GGA calculation of crystalline Pm8CoSb2 at its relaxed geometry, from Alexandria via LeMat-Bulk.

Calculated values
Final energy, eV per atom: -5.26

a b c (Å): 4.6556 7.5963 9.7860
angles (deg): 97.97 103.76 90.00
Closest atoms and distances in Å follow each position.
Fractional positions:
Pm 0.4055 0.4836 0.8110  2 Sb 3.31, 8 Pm 3.57-3.68
Pm 0.6411 0.0300 0.2821  1 Co 2.66
Pm 0.7854 0.6520 0.5709  3 Sb 3.25-3.34, 7 Pm 3.42-3.63
Pm 0.9959 0.2149 0.9919  2 Co 2.85
Pm 0.2146 0.3480 0.4291  3 Sb 3.25-3.34, 7 Pm 3.42-3.63
Pm 0.3589 0.9700 0.7179  1 Co 2.66
Pm 0.5945 0.5164 0.1890  2 Sb 3.31, 8 Pm 3.57-3.68
Pm 0.0041 0.7851 0.0081  2 Co 2.85
Co 0.5000 0.0000 0.0000  6 Pm 2.66-2.85
Sb 0.8175 0.2309 0.6349  9 Pm 3.23-3.48
Sb 0.1825 0.7691 0.3651  9 Pm 3.23-3.48

No. 4
The following is a PBE-GGA calculation of crystalline PmCoSb2 at its relaxed geometry, from Alexandria via LeMat-Bulk.

Calculated values
Final energy, eV per atom: -4.83

a b c (Å): 3.4070 3.4070 10.4103
angles (deg): 80.58 80.58 60.00
Closest atoms and distances in Å follow each position.
Fractional positions:
Sb 0.0802 0.0802 0.7594  1 Co 2.46
Sb 0.9198 0.9198 0.2406  1 Co 2.46
Co 0.0000 0.0000 0.0000  2 Sb 2.46
Pm 0.5000 0.5000 0.5000  6 Sb 3.30, 6 Pm 3.41

No. 5
The following is a PBE-GGA calculation of crystalline Pm6CoSb3 at its relaxed geometry, from Alexandria via LeMat-Bulk.

Calculated values
Final energy, eV per atom: -5.34

a b c (Å): 7.4878 9.4013 9.4013
angles (deg): 103.41 90.00 90.00
Closest atoms and distances in Å follow each position.
Fractional positions:
Pm 0.1733 0.7009 0.6341  4 Sb 3.11-3.21
Pm 0.6733 0.6341 0.7009  4 Sb 3.11-3.21
Pm 0.1659 0.4020 0.9012  1 Co 2.70
Pm 0.6659 0.9012 0.4020  1 Co 2.70
Pm 0.2619 0.9981 0.0019  2 Co 2.72-2.87
Pm 0.6965 0.2419 0.7581  1 Co 2.73
Pm 0.1965 0.7581 0.2419  1 Co 2.73
Pm 0.7619 0.0019 0.9981  2 Co 2.72-2.87
Pm 0.1659 0.0988 0.5980  1 Co 2.70
Pm 0.6659 0.5980 0.0988  1 Co 2.70
Pm 0.1733 0.3659 0.2991  4 Sb 3.11-3.21
Pm 0.6733 0.2991 0.3659  4 Sb 3.11-3.21
Co 0.0010 0.1406 0.8594  5 Pm 2.70-2.87
Co 0.5010 0.8594 0.1406  5 Pm 2.70-2.87
Sb 0.4866 0.9312 0.7069  7 Pm 3.11-3.37
Sb 0.9866 0.7069 0.9312  7 Pm 3.11-3.37
Sb 0.3743 0.3939 0.6061  7 Pm 3.16-3.29
Sb 0.8743 0.6061 0.3939  7 Pm 3.16-3.29
Sb 0.9866 0.0688 0.2931  7 Pm 3.11-3.37
Sb 0.4866 0.2931 0.0688  7 Pm 3.11-3.37

No. 6
The following is a PBE-GGA calculation of crystalline PmCoTcSb at its relaxed geometry, from Alexandria via LeMat-Bulk.

Calculated values
Final energy, eV per atom: -6.60

a b c (Å): 4.6822 4.6822 4.6822
angles (deg): 60.00 60.00 60.00
Closest atoms and distances in Å follow each position.
Fractional positions:
Sb 0.0000 0.0000 0.0000  4 Co 2.87, 4 Tc 2.87
Co 0.7500 0.7500 0.7500  4 Sb 2.87, 4 Pm 2.87
Tc 0.2500 0.2500 0.2500  4 Sb 2.87, 4 Pm 2.87
Pm 0.5000 0.5000 0.5000  4 Tc 2.87, 4 Co 2.87

No. 7
The following is a PBE-GGA calculation of crystalline PmZnCoSb at its relaxed geometry, from Alexandria via LeMat-Bulk.

Calculated values
Final energy, eV per atom: -4.48

a b c (Å): 4.7820 4.7820 4.7820
angles (deg): 60.00 60.00 60.00
Closest atoms and distances in Å follow each position.
Fractional positions:
Sb 0.7500 0.7500 0.7500  4 Co 2.93, 4 Zn 2.93
Zn 0.0000 0.0000 0.0000  4 Pm 2.93, 4 Sb 2.93
Co 0.5000 0.5000 0.5000  4 Sb 2.93, 4 Pm 2.93
Pm 0.2500 0.2500 0.2500  4 Co 2.93, 4 Zn 2.93

No. 8
The following is a PBE-GGA calculation of crystalline PmSc2Co at its relaxed geometry, from Alexandria via LeMat-Bulk.

Calculated values
Energy of formation from the pure elements, kJ/mol of formula units: -59
Final energy, eV per atom: -6.28

a b c (Å): 3.4768 6.1315 8.8438
angles (deg): 90.00 90.00 106.43
Closest atoms and distances in Å follow each position.
Fractional positions:
Pm 0.9280 0.8561 0.2500  2 Co 2.79-2.80
Pm 0.0720 0.1439 0.7500  2 Co 2.79-2.80
Sc 0.3531 0.7066 0.5711  2 Co 2.60
Sc 0.6469 0.2934 0.4289  2 Co 2.60
Sc 0.3531 0.7066 0.9289  2 Co 2.60
Sc 0.6469 0.2934 0.0711  2 Co 2.60
Co 0.7579 0.5160 0.7500  4 Sc 2.60, 2 Pm 2.79-2.80
Co 0.2421 0.4840 0.2500  4 Sc 2.60, 2 Pm 2.79-2.80

For each record above, in turn, the calculated Fermi-level density of states values are 0.66, 1.01, 1.07, 1.06, 1.03, 0.17, 0.52, 1.34 states/eV/atom.
For each record above, in turn, the calculated magnetization values are 0.0, 0.0, 0.0, 1.7, 0.2, 0.0, 0.4, 0.0 μB/f.u..